(1)
# Rb3CeO4

A geometry-optimized Rb3CeO4 structure (PBE-GGA, the Alexandria database).

## Properties
The total magnetic moment comes out at 1.05 μB per formula unit. As for the crystal system: monoclinic. As for the volume: 170.6 Å³/f.u. The value obtained for the raw total energy is -5.522 eV/atom. For the uncorrected formation energy, the calculation gives -1938.1 meV per atom. Its space group is P2/c.

Cell: 7.0557 7.8563 6.5671 Å, 90.00 110.40 90.00°
Fractional coordinates of all 16 atoms:
Rb (0.0000, 0.1157, 0.2500)
Rb (0.0000, 0.3674, 0.7500)
Rb (0.0000, 0.6326, 0.2500)
Rb (0.0000, 0.8843, 0.7500)
Rb (0.5000, 0.3834, 0.2500)
Rb (0.5000, 0.6166, 0.7500)
Ce (0.5000, 0.1119, 0.7500)
Ce (0.5000, 0.8881, 0.2500)
O (0.2902, 0.3047, 0.5722)
O (0.2902, 0.6953, 0.0722)
O (0.3251, 0.0877, 0.0062)
O (0.3251, 0.9123, 0.5062)
O (0.6749, 0.0877, 0.4938)
O (0.6749, 0.9123, 0.9938)
O (0.7098, 0.3047, 0.9278)
O (0.7098, 0.6953, 0.4278)

=====

(2)
# Rb2Ce2O5

A geometry-optimized Rb2Ce2O5 structure (PBE-GGA, the Alexandria database).

## Properties
The total magnetic moment comes out at 0.00 μB per formula unit. As for the crystal system: monoclinic. As for the volume: 164.2 Å³/f.u. The value obtained for the raw total energy is -6.974 eV/atom. For the uncorrected formation energy, the calculation gives -2685.9 meV per atom. Its space group is C2/m.

Cell: 6.5501 6.5501 6.9527 Å, 119.86 119.86 40.49°
Fractional coordinates of all 9 atoms:
Rb (0.1380, 0.1380, 0.4659)
Rb (0.8620, 0.8620, 0.5341)
Ce (0.3936, 0.3936, 0.1065)
Ce (0.6064, 0.6064, 0.8935)
O (0.1631, 0.1631, 0.9170)
O (0.3951, 0.3951, 0.8024)
O (0.5000, 0.5000, 0.5000)
O (0.6049, 0.6049, 0.1976)
O (0.8369, 0.8369, 0.0830)

=====

(3)
# Rb2Ce3O6

A geometry-optimized Rb2Ce3O6 structure (PBE-GGA, the Alexandria database).

## Properties
The total magnetic moment comes out at 2.01 μB per formula unit. As for the crystal system: monoclinic. As for the volume: 228.7 Å³/f.u. The value obtained for the raw total energy is -7.330 eV/atom. For the uncorrected formation energy, the calculation gives -2831.5 meV per atom. Its space group is C2/m.

Cell: 6.2941 6.2941 6.9832 Å, 98.60 98.60 119.96°
Fractional coordinates of all 11 atoms:
Rb (0.1671, 0.8329, 0.0000)
Rb (0.8329, 0.1671, 0.0000)
Ce (0.0000, 0.0000, 0.5000)
Ce (0.3344, 0.6656, 0.5000)
Ce (0.6656, 0.3344, 0.5000)
O (0.0461, 0.3880, 0.6649)
O (0.2703, 0.2703, 0.3355)
O (0.3880, 0.0461, 0.6649)
O (0.6120, 0.9539, 0.3351)
O (0.7297, 0.7297, 0.6645)
O (0.9539, 0.6120, 0.3351)

=====

(4)
# Rb2CeReO6

A geometry-optimized Rb2CeReO6 structure (PBE-GGA, the Alexandria database).

## Properties
The total magnetic moment comes out at 1.03 μB per formula unit. As for the crystal system: cubic. As for the volume: 153.3 Å³/f.u. The value obtained for the raw total energy is -7.196 eV/atom. For the uncorrected formation energy, the calculation gives -2189.0 meV per atom. Its space group is Fm-3m.

Cell: 6.0075 6.0075 6.0075 Å, 60.00 60.00 60.00°
Fractional coordinates of all 10 atoms:
Rb (0.2500, 0.2500, 0.2500)
Rb (0.7500, 0.7500, 0.7500)
Ce (0.0000, 0.0000, 0.0000)
Re (0.5000, 0.5000, 0.5000)
O (0.2723, 0.2723, 0.7277)
O (0.2723, 0.7277, 0.2723)
O (0.2723, 0.7277, 0.7277)
O (0.7277, 0.2723, 0.2723)
O (0.7277, 0.2723, 0.7277)
O (0.7277, 0.7277, 0.2723)

=====

(5)
# RbCeRe2O8

A geometry-optimized RbCeRe2O8 structure (PBE-GGA, the Alexandria database).

## Properties
The total magnetic moment comes out at 3.04 μB per formula unit. As for the crystal system: trigonal. As for the volume: 260.3 Å³/f.u. The value obtained for the raw total energy is -7.947 eV/atom. For the uncorrected formation energy, the calculation gives -1992.0 meV per atom. Its space group is P-3.

Cell: 6.1105 6.1105 8.0508 Å, 90.00 90.00 120.00°
Fractional coordinates of all 12 atoms:
Rb (0.0000, 0.0000, 0.0000)
Ce (0.0000, 0.0000, 0.5000)
Re (0.3333, 0.6667, 0.7589)
Re (0.6667, 0.3333, 0.2411)
O (0.1716, 0.3449, 0.6799)
O (0.1734, 0.8284, 0.6799)
O (0.3333, 0.6667, 0.9780)
O (0.3449, 0.1734, 0.3201)
O (0.6551, 0.8266, 0.6799)
O (0.6667, 0.3333, 0.0220)
O (0.8266, 0.1716, 0.3201)
O (0.8284, 0.6551, 0.3201)

=====

(6)
# Rb2CeRe3O12

A geometry-optimized Rb2CeRe3O12 structure (PBE-GGA, the Alexandria database).

## Properties
The total magnetic moment comes out at 2.24 μB per formula unit. As for the crystal system: trigonal. As for the volume: 299.2 Å³/f.u. The value obtained for the raw total energy is -7.745 eV/atom. For the uncorrected formation energy, the calculation gives -1927.8 meV per atom. Its space group is R-3m.

Cell: 7.6258 7.6258 7.6258 Å, 58.01 58.01 58.01°
Fractional coordinates of all 18 atoms:
Rb (0.1227, 0.1227, 0.1227)
Rb (0.8773, 0.8773, 0.8773)
Ce (0.5000, 0.5000, 0.5000)
Re (0.0000, 0.5000, 0.5000)
Re (0.5000, 0.0000, 0.5000)
Re (0.5000, 0.5000, 0.0000)
O (0.1404, 0.5782, 0.5782)
O (0.1998, 0.1998, 0.5709)
O (0.1998, 0.5709, 0.1998)
O (0.4218, 0.4218, 0.8596)
O (0.4218, 0.8596, 0.4218)
O (0.4291, 0.8002, 0.8002)
O (0.5709, 0.1998, 0.1998)
O (0.5782, 0.1404, 0.5782)
O (0.5782, 0.5782, 0.1404)
O (0.8002, 0.4291, 0.8002)
O (0.8002, 0.8002, 0.4291)
O (0.8596, 0.4218, 0.4218)

=====

(7)
# Rb2CeRhO4

A geometry-optimized Rb2CeRhO4 structure (PBE-GGA, the Alexandria database).

## Properties
The total magnetic moment comes out at 1.00 μB per formula unit. As for the crystal system: monoclinic. As for the volume: 134.8 Å³/f.u. The value obtained for the raw total energy is -6.134 eV/atom. For the uncorrected formation energy, the calculation gives -1752.5 meV per atom. Its space group is P2/m.

Cell: 5.9817 3.4540 6.9950 Å, 90.00 111.10 90.00°
Fractional coordinates of all 8 atoms:
Rb (0.0000, 0.0000, 0.0000)
Rb (0.5000, 0.5000, 0.0000)
Ce (0.0000, 0.5000, 0.5000)
Rh (0.5000, 0.0000, 0.5000)
O (0.1921, 0.0000, 0.7006)
O (0.2886, 0.5000, 0.3417)
O (0.7114, 0.5000, 0.6583)
O (0.8079, 0.0000, 0.2994)

=====

(8)
# RbCe2RhO8

A geometry-optimized RbCe2RhO8 structure (PBE-GGA, the Alexandria database).

## Properties
The total magnetic moment comes out at 2.06 μB per formula unit. As for the crystal system: triclinic. As for the volume: 191.8 Å³/f.u. The value obtained for the raw total energy is -6.961 eV/atom. For the uncorrected formation energy, the calculation gives -1973.2 meV per atom. Its space group is P-1.

Cell: 5.1386 5.5109 7.3600 Å, 83.43 71.12 76.83°
Fractional coordinates of all 12 atoms:
Rb (0.0000, 0.0000, 0.0000)
Ce (0.3452, 0.4373, 0.3294)
Ce (0.6548, 0.5627, 0.6706)
Rh (0.0000, 0.0000, 0.5000)
O (0.0713, 0.2836, 0.6158)
O (0.2836, 0.0709, 0.2679)
O (0.2954, 0.7247, 0.5714)
O (0.3583, 0.5189, 0.9942)
O (0.6417, 0.4811, 0.0058)
O (0.7046, 0.2753, 0.4286)
O (0.7164, 0.9291, 0.7321)
O (0.9287, 0.7164, 0.3842)

=====

(9)
# Rb2CeRu3O12

A geometry-optimized Rb2CeRu3O12 structure (PBE-GGA, the Alexandria database).

## Properties
The total magnetic moment comes out at 0.00 μB per formula unit. As for the crystal system: trigonal. As for the volume: 289.2 Å³/f.u. The value obtained for the raw total energy is -6.646 eV/atom. For the uncorrected formation energy, the calculation gives -1357.2 meV per atom. Its space group is R-3m.

Cell: 7.5558 7.5558 7.5558 Å, 57.74 57.74 57.74°
Fractional coordinates of all 18 atoms:
Rb (0.1221, 0.1221, 0.1221)
Rb (0.8779, 0.8779, 0.8779)
Ce (0.5000, 0.5000, 0.5000)
Ru (0.0000, 0.5000, 0.5000)
Ru (0.5000, 0.0000, 0.5000)
Ru (0.5000, 0.5000, 0.0000)
O (0.1394, 0.5821, 0.5821)
O (0.1984, 0.1984, 0.5763)
O (0.1984, 0.5763, 0.1984)
O (0.4179, 0.4179, 0.8606)
O (0.4179, 0.8606, 0.4179)
O (0.4237, 0.8016, 0.8016)
O (0.5763, 0.1984, 0.1984)
O (0.5821, 0.1394, 0.5821)
O (0.5821, 0.5821, 0.1394)
O (0.8016, 0.4237, 0.8016)
O (0.8016, 0.8016, 0.4237)
O (0.8606, 0.4179, 0.4179)

=====

(10)
# RbCeRu2O8

A geometry-optimized RbCeRu2O8 structure (PBE-GGA, the Alexandria database).

## Properties
The total magnetic moment comes out at 3.02 μB per formula unit. As for the crystal system: trigonal. As for the volume: 251.4 Å³/f.u. The value obtained for the raw total energy is -6.936 eV/atom. For the uncorrected formation energy, the calculation gives -1509.4 meV per atom. Its space group is P-3.

Cell: 5.9905 5.9905 8.0899 Å, 90.00 90.00 120.00°
Fractional coordinates of all 12 atoms:
Rb (0.0000, 0.0000, 0.0000)
Ce (0.0000, 0.0000, 0.5000)
Ru (0.3333, 0.6667, 0.7579)
Ru (0.6667, 0.3333, 0.2421)
O (0.1588, 0.3407, 0.6742)
O (0.1820, 0.8412, 0.6742)
O (0.3333, 0.6667, 0.9737)
O (0.3407, 0.1820, 0.3258)
O (0.6593, 0.8180, 0.6742)
O (0.6667, 0.3333, 0.0263)
O (0.8180, 0.1588, 0.3258)
O (0.8412, 0.6593, 0.3258)

=====

(11)
# RbCe2RuO8

A geometry-optimized RbCe2RuO8 structure (PBE-GGA, the Alexandria database).

## Properties
The total magnetic moment comes out at 1.00 μB per formula unit. As for the crystal system: triclinic. As for the volume: 173.9 Å³/f.u. The value obtained for the raw total energy is -7.109 eV/atom. For the uncorrected formation energy, the calculation gives -1961.4 meV per atom. Its space group is P-1.

Cell: 4.9107 5.0246 7.2323 Å, 102.22 93.53 91.72°
Fractional coordinates of all 12 atoms:
Rb (0.0000, 0.0000, 0.0000)
Ce (0.4833, 0.4512, 0.7509)
Ce (0.5167, 0.5488, 0.2491)
Ru (0.0000, 0.0000, 0.5000)
O (0.0615, 0.6984, 0.2826)
O (0.2192, 0.8419, 0.6520)
O (0.3087, 0.2404, 0.4543)
O (0.4874, 0.2575, 0.9943)
O (0.5126, 0.7425, 0.0057)
O (0.6913, 0.7596, 0.5457)
O (0.7808, 0.1581, 0.3480)
O (0.9385, 0.3016, 0.7174)

=====

(12)
# Rb2CeRuO6

A geometry-optimized Rb2CeRuO6 structure (PBE-GGA, the Alexandria database).

## Properties
The total magnetic moment comes out at 1.95 μB per formula unit. As for the crystal system: cubic. As for the volume: 150.9 Å³/f.u. The value obtained for the raw total energy is -6.516 eV/atom. For the uncorrected formation energy, the calculation gives -1826.7 meV per atom. Its space group is Fm-3m.

Cell: 5.9757 5.9757 5.9757 Å, 60.00 60.00 60.00°
Fractional coordinates of all 10 atoms:
Rb (0.2500, 0.2500, 0.2500)
Rb (0.7500, 0.7500, 0.7500)
Ce (0.0000, 0.0000, 0.0000)
Ru (0.5000, 0.5000, 0.5000)
O (0.2689, 0.2689, 0.7311)
O (0.2689, 0.7311, 0.2689)
O (0.2689, 0.7311, 0.7311)
O (0.7311, 0.2689, 0.2689)
O (0.7311, 0.2689, 0.7311)
O (0.7311, 0.7311, 0.2689)